[1]
{"formula": "Dy5Y5Sc2", "functional": "GGA-PBE", "state": "optimized geometry", "de_polymorph_mev_per_atom": 29, "vol_a3_per_cell": 367.6, "delta_e_f_ev_per_atom": 0.069, "lattice": [[-0.238, -5.193, 1.883], [3.969, 3.969, 3.332], [-10.909, 1.992, 4.113]], "species": ["Dy", "Dy", "Dy", "Dy", "Dy", "Y", "Y", "Y", "Y", "Y", "Sc", "Sc"], "fractional_positions": [[0.294, 0.588, 0.952], [0.536, 0.071, 0.216], [0.706, 0.412, 0.048], [0.500, 0.000, 0.500], [0.464, 0.929, 0.784], [0.800, 0.600, 0.454], [0.200, 0.400, 0.546], [0.249, 0.498, 0.250], [0.000, 0.000, 0.000], [0.751, 0.502, 0.750], [0.963, 0.926, 0.288], [0.037, 0.074, 0.712]]}

[2]
{"formula": "Dy7YSc4", "functional": "GGA-PBE", "state": "optimized geometry", "vol_a3_per_cell": 348.9, "delta_e_f_ev_per_atom": 0.022, "lattice": [[6.168, -1.806, 2.672], [0.703, 5.590, 2.153], [2.668, -2.191, 10.467]], "species": ["Dy", "Dy", "Dy", "Dy", "Dy", "Dy", "Dy", "Sc", "Sc", "Sc", "Sc", "Y"], "fractional_positions": [[0.916, 0.716, 0.340], [0.336, 0.776, 0.663], [0.739, 0.503, 0.005], [0.084, 0.284, 0.660], [0.261, 0.497, 0.995], [0.500, 0.000, 0.000], [0.664, 0.224, 0.337], [0.593, 0.275, 0.662], [0.840, 0.784, 0.661], [0.407, 0.725, 0.338], [0.160, 0.216, 0.339], [0.000, 0.000, 0.000]]}

[3]
{"formula": "Dy4Y2Sc", "functional": "GGA-PBE", "state": "optimized geometry", "de_polymorph_mev_per_atom": 34, "vol_a3_per_cell": 878.1, "delta_e_f_ev_per_atom": 0.173, "lattice": [[-2.792, 4.614, 1.071], [-9.597, -4.419, -5.981], [-4.505, -5.316, 11.157]], "species": ["Y", "Y", "Y", "Y", "Y", "Y", "Y", "Y", "Dy", "Dy", "Dy", "Dy", "Dy", "Dy", "Dy", "Dy", "Dy", "Dy", "Dy", "Dy", "Dy", "Dy", "Dy", "Dy", "Sc", "Sc", "Sc", "Sc"], "fractional_positions": [[0.000, 0.932, 0.845], [0.500, 0.568, 0.155], [0.000, 0.432, 0.655], [0.000, 0.068, 0.155], [0.000, 0.568, 0.345], [0.500, 0.932, 0.655], [0.500, 0.068, 0.345], [0.500, 0.432, 0.845], [0.000, 0.146, 0.679], [0.500, 0.354, 0.321], [0.500, 0.746, 0.925], [0.000, 0.746, 0.575], [0.500, 0.854, 0.179], [0.000, 0.754, 0.075], [0.500, 0.254, 0.075], [0.500, 0.754, 0.425], [0.000, 0.354, 0.179], [0.000, 0.246, 0.925], [0.000, 0.254, 0.425], [0.500, 0.646, 0.679], [0.000, 0.854, 0.321], [0.500, 0.146, 0.821], [0.000, 0.646, 0.821], [0.500, 0.246, 0.575], [0.500, 0.500, 0.500], [0.000, 0.000, 0.500], [0.500, 0.000, 0.000], [0.000, 0.500, 0.000]]}

Number 1: E -67.2 eV for the cell shown. Number 2: E -63.7 eV for the cell shown. Number 3: E -145.8 eV for the cell shown.